The following is a DFT calculation (SCAN) of a crystal of LiYAu relaxed with PBEsol.

abc: 3.6580 3.6580 5.1977
angles: 110.60 110.60 90.00
Closest atoms and distances in Å follow each position.
Sites, in units of the cell vectors:
Y (0.6562, 0.6562, 0.3124)  5 Li 2.79-3.11, 5 Au 2.96-3.07
Au (0.9967, 0.9967, 0.9934)  5 Li 2.92-3.16, 5 Y 2.96-3.07
Li (0.3471, 0.3471, 0.6942)  5 Y 2.79-3.11, 4 Au 2.92

Computed properties:
Fermi-level density of states ... 1.08 states/eV per cell
Symmetry ... I4mm (107)
Total moment ... 0.001 μB per atom
ΔH_f (0 K) ... -712 meV per atom

The following is a DFT calculation (SCAN) of a crystal of LaSc2Te relaxed with PBEsol.

abc: 3.7611 3.7611 7.4461
angles: 90.00 90.00 90.00
Closest atoms and distances in Å follow each position.
Sites, in units of the cell vectors:
Sc (0.5000, 0.5000, 0.2693)  4 Te 2.98, 4 Sc 3.15
Sc (0.0000, 0.0000, 0.0428)  1 Te 3.03, 4 Sc 3.15
Te (0.0000, 0.0000, 0.4497)  5 Sc 2.98-3.03
La (0.5000, 0.5000, 0.7382)  4 Te 3.42, 5 Sc 3.49-3.50, 4 La 3.76

Computed properties:
Fermi-level density of states ... 4.49 states/eV per cell
Symmetry ... P4mm (99)
Total moment ... 0.000 μB per atom
Formation energy without anion corrections ... -611.7 meV per atom

The following is a DFT calculation (SCAN) of a crystal of Na5Pt relaxed with PBEsol.

abc: 5.1869 5.7172 5.7172
angles: 120.00 90.00 90.00
Closest atoms and distances in Å follow each position.
Sites, in units of the cell vectors:
Pt (0.5000, 0.0000, 0.0000)  12 Na 3.10-3.30
Na (0.5000, 0.3333, 0.6667)  9 Na 3.29-3.30, 3 Pt 3.30
Na (0.0000, 0.2956, 0.2956)  2 Na 2.93, 2 Pt 3.10
Na (0.0000, 0.0000, 0.7044)  2 Na 2.93, 2 Pt 3.10
Na (0.5000, 0.6667, 0.3333)  9 Na 3.29-3.30, 3 Pt 3.30
Na (0.0000, 0.7044, 0.0000)  2 Na 2.93, 2 Pt 3.10

Computed properties:
Fermi-level density of states ... 1.64 states/eV per cell
Symmetry ... P-62m (189)
Total moment ... 0.000 μB per atom
ΔH_f (0 K) ... -28 meV per atom

The following is a DFT calculation (SCAN) of a crystal of ReBrO3 relaxed with PBEsol.

abc: 3.8940 3.8940 3.8940
angles: 90.00 90.00 90.00
Closest atoms and distances in Å follow each position.
Sites, in units of the cell vectors:
O (0.5000, 0.0000, 0.0000)  2 Re 1.95
O (0.0000, 0.5000, 0.0000)  2 Re 1.95
O (0.0000, 0.0000, 0.5000)  2 Re 1.95
Br (0.5000, 0.5000, 0.5000)  12 O 2.75
Re (0.0000, 0.0000, 0.0000)  6 O 1.95

Computed properties:
Fermi-level density of states ... 4.25 states/eV per cell
Symmetry ... Pm-3m (221)
Total moment ... 0.000 μB per atom
Formation energy without anion corrections ... -640.2 meV per atom

The following is a DFT calculation (SCAN) of a crystal of CuHgPbO2 relaxed with PBEsol.

abc: 4.0896 4.0896 5.6368
angles: 90.00 90.00 90.00
Closest atoms and distances in Å follow each position.
Sites, in units of the cell vectors:
O (0.5000, 0.0000, 0.0000)  2 Pb 2.04
O (0.0000, 0.5000, 0.0000)  2 Pb 2.04
Hg (0.5000, 0.5000, 0.5000)  4 Cu 2.89
Cu (0.0000, 0.0000, 0.5000)  2 Pb 2.82, 4 Hg 2.89
Pb (0.0000, 0.0000, 0.0000)  4 O 2.04

Computed properties:
Fermi-level density of states ... 2.10 states/eV per cell
Symmetry ... P4/mmm (123)
Total moment ... 0.000 μB per atom
Formation energy without anion corrections ... 222.7 meV per atom

The following is a DFT calculation (SCAN) of a crystal of ScTlAuF2 relaxed with PBEsol.

abc: 3.9834 3.9834 6.2945
angles: 90.00 90.00 90.00
Closest atoms and distances in Å follow each position.
Sites, in units of the cell vectors:
F (0.0000, 0.5000, 0.0000)  2 Sc 1.99
F (0.5000, 0.0000, 0.0000)  2 Sc 1.99
Sc (0.0000, 0.0000, 0.0000)  4 F 1.99
Tl (0.0000, 0.0000, 0.5000)  4 Au 2.82, 2 Sc 3.15
Au (0.5000, 0.5000, 0.5000)  4 Tl 2.82

Computed properties:
Fermi-level density of states ... 0.88 states/eV per cell
Symmetry ... P4/mmm (123)
Total moment ... 0.000 μB per atom
Formation energy without anion corrections ... -2107.9 meV per atom

The following is a DFT calculation (SCAN) of a crystal of SrLaAl4 relaxed with PBEsol.

abc: 5.7362 5.7362 5.7362
angles: 60.00 60.00 60.00
Closest atoms and distances in Å follow each position.
Sites, in units of the cell vectors:
Al (0.8733, 0.3756, 0.3756)  6 Al 2.86-2.88
Al (0.3756, 0.3756, 0.3756)  6 Al 2.86-2.88
Al (0.3756, 0.3756, 0.8733)  6 Al 2.86-2.88
Al (0.3756, 0.8733, 0.3756)  6 Al 2.86-2.88
La (0.7500, 0.7500, 0.7500)  12 Al 3.36, 4 Sr 3.51
Sr (0.0000, 0.0000, 0.0000)  12 Al 3.36, 4 La 3.51

Computed properties:
Fermi-level density of states ... 2.68 states/eV per cell
Symmetry ... F-43m (216)
Total moment ... 0.000 μB per atom
ΔH_f (0 K) ... -390 meV per atom

The following is a DFT calculation (SCAN) of a crystal of Be2CoReC relaxed with PBEsol.

abc: 4.1995 4.1995 4.3661
angles: 90.00 90.00 90.00
Closest atoms and distances in Å follow each position.
Sites, in units of the cell vectors:
C (0.5000, 0.5000, 0.5000)  4 Co 2.97, 8 Be 3.03
Co (0.0000, 0.0000, 0.5000)  2 Re 2.18
Re (0.0000, 0.0000, 0.0000)  4 Be 2.10, 2 Co 2.18
Be (0.5000, 0.0000, 0.0000)  2 Re 2.10
Be (0.0000, 0.5000, 0.0000)  2 Re 2.10

Computed properties:
Fermi-level density of states ... 2.42 states/eV per cell
Symmetry ... P4/mmm (123)
Total moment ... 0.411 μB per atom
ΔH_f (0 K) ... 2545 meV per atom